Here is a relaxed structure of Ac2NdDy2 from Alexandria via LeMat-Bulk. Energies are from PBE-GGA.

Geometry as POSCAR:
```
Ac2NdDy2
1.0
8.912 -3.391 0.000
8.912 3.391 0.000
-1.961 0.000 6.227
Ac Nd Dy
4 2 4
Direct
0.044 0.340 0.194
0.340 0.044 0.694
0.660 0.956 0.306
0.956 0.660 0.806
0.079 0.921 0.750
0.921 0.079 0.250
0.297 0.530 0.341
0.470 0.703 0.159
0.530 0.297 0.841
0.703 0.470 0.659
```

- Total magnetic moment: 0.000 μB/atom
- Energy of formation: 0.4 eV per formula unit
- Space group: C2/c
- DOS at the Fermi energy: 7.03 states/eV/f.u.
- V: 376 Å³ per cell